#A
Density functional theory data (PBE) for crystalline FeMo2Os at its relaxed geometry.

Structure (CIF):
```
data_FeMo2Os
_chemical_formula_sum 'Fe2 Mo4 Os2'
_space_group_name_H-M_alt 'I m m 2'
_space_group_IT_number 44
_cell_length_a 3.125
_cell_length_b 4.340
_cell_length_c 8.636
_cell_angle_alpha 90.00
_cell_angle_beta 90.00
_cell_angle_gamma 90.00
loop_
_space_group_symop_operation_xyz
'x,y,z'
'-x,-y,z'
'-x,y,z'
'x,-y,z'
'x+1/2,y+1/2,z+1/2'
'-x+1/2,-y+1/2,z+1/2'
'-x+1/2,y+1/2,z+1/2'
'x+1/2,-y+1/2,z+1/2'
loop_
_atom_site_label
_atom_site_type_symbol
_atom_site_fract_x
_atom_site_fract_y
_atom_site_fract_z
Fe1 Fe 0.000 0.000 0.000
Mo1 Mo 0.000 0.000 0.490
Mo2 Mo 0.000 0.500 0.743
Os1 Os 0.000 0.500 0.247
```

Volume   117.1 Å³/cell



#B
Density functional theory data (PBE) for crystalline FeMo2Os at its relaxed geometry.

Structure (CIF):
```
data_FeMo2Os
_chemical_formula_sum 'Fe2 Mo4 Os2'
_space_group_name_H-M_alt 'I -4 m 2'
_space_group_IT_number 119
_space_group_name_Hall 'I -4 -2'
_cell_length_a 3.876
_cell_length_b 3.876
_cell_length_c 7.671
_cell_angle_alpha 90.00
_cell_angle_beta 90.00
_cell_angle_gamma 90.00
loop_
_atom_site_label
_atom_site_type_symbol
_atom_site_fract_x
_atom_site_fract_y
_atom_site_fract_z
Fe1 Fe 0.000 0.000 0.000
Mo1 Mo 0.000 0.000 0.500
Mo2 Mo 0.000 0.500 0.750
Os1 Os 0.000 0.500 0.250
```

Volume   115.2 Å³/cell



It is #A that is the least stable of them.